The following is a DFT calculation (PBE-GGA) of crystalline CaPm2Tm3Se6 at its relaxed geometry.

Lattice parameters (Å, degrees): 9.2104 9.2104 8.2878 103.63 103.63 25.54
With the nearest neighbours (Å) after each atom.
Fractional positions:
Ca 0.0000 0.0000 0.0000  6 Se 2.92-2.94
Pm 0.3278 0.3278 0.6565  6 Se 2.93-3.05
Pm 0.6722 0.6722 0.3435  6 Se 2.93-3.05
Tm 0.0000 0.0000 0.5000  6 Se 2.79-2.87
Tm 0.3307 0.3307 0.1706  6 Se 2.80-2.91
Tm 0.6693 0.6693 0.8294  6 Se 2.80-2.91
Se 0.1601 0.1601 0.5926  3 Tm 2.79-2.80, 3 Pm 2.93-2.94
Se 0.1673 0.1673 0.0724  3 Tm 2.85-2.87, 1 Ca 2.92, 2 Pm 3.02
Se 0.4975 0.4975 0.2541  3 Tm 2.87-2.91, 2 Ca 2.94, 1 Pm 3.05
Se 0.5025 0.5025 0.7459  3 Tm 2.87-2.91, 2 Ca 2.94, 1 Pm 3.05
Se 0.8327 0.8327 0.9276  3 Tm 2.85-2.87, 1 Ca 2.92, 2 Pm 3.02
Se 0.8399 0.8399 0.4074  3 Tm 2.79-2.80, 3 Pm 2.93-2.94

## Properties
**Formation energy without anion corrections**: -1.79 eV/atom
**Density of states at the Fermi level**: 4.94 states/eV/f.u.



The following is a DFT calculation (PBE-GGA) of crystalline CaPm4TmSe8 at its relaxed geometry.

Lattice parameters (Å, degrees): 8.5654 8.5654 8.5654 60.41 60.41 60.41
With the nearest neighbours (Å) after each atom.
Fractional positions:
Ca 0.0000 0.0000 0.0000  4 Se 2.80-2.83
Pm 0.1182 0.6262 0.6262  6 Se 2.92-2.99
Pm 0.2480 0.2480 0.2480  4 Se 2.79-2.83
Pm 0.6262 0.1182 0.6262  6 Se 2.92-2.99
Pm 0.6262 0.6262 0.1182  6 Se 2.92-2.99
Tm 0.6265 0.6265 0.6265  6 Se 2.83-2.89
Se 0.3815 0.3815 0.3815  4 Pm 2.79-2.98
Se 0.3890 0.3890 0.8461  3 Pm 2.83-2.99, 1 Tm 2.89
Se 0.3890 0.8461 0.3890  3 Pm 2.83-2.99, 1 Tm 2.89
Se 0.4020 0.8596 0.8596  1 Ca 2.83, 1 Tm 2.83, 2 Pm 2.94
Se 0.8461 0.3890 0.3890  3 Pm 2.83-2.99, 1 Tm 2.89
Se 0.8596 0.4020 0.8596  1 Ca 2.83, 1 Tm 2.83, 2 Pm 2.94
Se 0.8596 0.8596 0.4020  1 Ca 2.83, 1 Tm 2.83, 2 Pm 2.94
Se 0.8662 0.8662 0.8662  1 Ca 2.80, 3 Pm 2.92

## Properties
**Formation energy without anion corrections**: -1.80 eV/atom
**Density of states at the Fermi level**: 3.87 states/eV/f.u.



The following is a DFT calculation (PBE-GGA) of crystalline Ca4Pm3TmSe8 at its relaxed geometry.

Lattice parameters (Å, degrees): 8.4064 8.4064 8.4064 59.10 59.10 59.10
With the nearest neighbours (Å) after each atom.
Fractional positions:
Ca 0.0000 0.0000 0.0000  6 Se 3.00
Ca 0.0000 0.5000 0.5000  6 Se 2.93
Ca 0.5000 0.0000 0.5000  6 Se 2.93
Ca 0.5000 0.5000 0.0000  6 Se 2.93
Pm 0.0000 0.0000 0.5000  6 Se 2.97
Pm 0.0000 0.5000 0.0000  6 Se 2.97
Pm 0.5000 0.0000 0.0000  6 Se 2.97
Tm 0.5000 0.5000 0.5000  6 Se 2.90
Se 0.2518 0.2518 0.2518  3 Ca 2.93, 3 Pm 2.97
Se 0.2545 0.2545 0.7420  1 Tm 2.90, 3 Ca 2.93-3.00, 2 Pm 2.97
Se 0.2545 0.7420 0.2545  1 Tm 2.90, 3 Ca 2.93-3.00, 2 Pm 2.97
Se 0.2580 0.7455 0.7455  1 Tm 2.90, 3 Ca 2.93-3.00, 2 Pm 2.97
Se 0.7420 0.2545 0.2545  1 Tm 2.90, 3 Ca 2.93-3.00, 2 Pm 2.97
Se 0.7455 0.2580 0.7455  1 Tm 2.90, 3 Ca 2.93-3.00, 2 Pm 2.97
Se 0.7455 0.7455 0.2580  1 Tm 2.90, 3 Ca 2.93-3.00, 2 Pm 2.97
Se 0.7482 0.7482 0.7482  3 Ca 2.93, 3 Pm 2.97

## Properties
**Formation energy without anion corrections**: -1.89 eV/atom
**Density of states at the Fermi level**: 5.42 states/eV/f.u.



The following is a DFT calculation (PBE-GGA) of crystalline CaPm3Y4Se8 at its relaxed geometry.

Lattice parameters (Å, degrees): 8.2860 8.2860 8.2860 59.97 59.97 59.97
With the nearest neighbours (Å) after each atom.
Fractional positions:
Ca 0.0000 0.0000 0.0000  6 Se 2.94
Pm 0.0000 0.5000 0.5000  6 Se 2.97
Pm 0.5000 0.0000 0.5000  6 Se 2.97
Pm 0.5000 0.5000 0.0000  6 Se 2.97
Y 0.0000 0.0000 0.5000  6 Se 2.89
Y 0.0000 0.5000 0.0000  6 Se 2.89
Y 0.5000 0.0000 0.0000  6 Se 2.89
Y 0.5000 0.5000 0.5000  6 Se 2.92
Se 0.2439 0.7494 0.7494  3 Y 2.89-2.92, 1 Ca 2.94, 2 Pm 2.97
Se 0.2466 0.2466 0.2466  3 Y 2.89, 3 Pm 2.97
Se 0.2506 0.2506 0.7561  3 Y 2.89-2.92, 1 Ca 2.94, 2 Pm 2.97
Se 0.2506 0.7561 0.2506  3 Y 2.89-2.92, 1 Ca 2.94, 2 Pm 2.97
Se 0.7494 0.2439 0.7494  3 Y 2.89-2.92, 1 Ca 2.94, 2 Pm 2.97
Se 0.7494 0.7494 0.2439  3 Y 2.89-2.92, 1 Ca 2.94, 2 Pm 2.97
Se 0.7534 0.7534 0.7534  3 Y 2.89, 3 Pm 2.97
Se 0.7561 0.2506 0.2506  3 Y 2.89-2.92, 1 Ca 2.94, 2 Pm 2.97

## Properties
**Formation energy without anion corrections**: -1.82 eV/atom
**Density of states at the Fermi level**: 8.75 states/eV/f.u.



The following is a DFT calculation (PBE-GGA) of crystalline Ca4Pm3YSe8 at its relaxed geometry.

Lattice parameters (Å, degrees): 8.4286 8.4286 8.4286 59.02 59.02 59.02
With the nearest neighbours (Å) after each atom.
Fractional positions:
Ca 0.0000 0.0000 0.0000  6 Se 2.98
Ca 0.0000 0.5000 0.5000  6 Se 2.94
Ca 0.5000 0.0000 0.5000  6 Se 2.94
Ca 0.5000 0.5000 0.0000  6 Se 2.94
Pm 0.0000 0.0000 0.5000  6 Se 2.98
Pm 0.0000 0.5000 0.0000  6 Se 2.98
Pm 0.5000 0.0000 0.0000  6 Se 2.98
Y 0.5000 0.5000 0.5000  6 Se 2.94
Se 0.2516 0.2516 0.2516  3 Ca 2.94, 3 Pm 2.98
Se 0.2519 0.2519 0.7449  1 Y 2.94, 3 Ca 2.94-2.98, 2 Pm 2.98
Se 0.2519 0.7449 0.2519  1 Y 2.94, 3 Ca 2.94-2.98, 2 Pm 2.98
Se 0.2551 0.7481 0.7481  1 Y 2.94, 3 Ca 2.94-2.98, 2 Pm 2.98
Se 0.7449 0.2519 0.2519  1 Y 2.94, 3 Ca 2.94-2.98, 2 Pm 2.98
Se 0.7481 0.2551 0.7481  1 Y 2.94, 3 Ca 2.94-2.98, 2 Pm 2.98
Se 0.7481 0.7481 0.2551  1 Y 2.94, 3 Ca 2.94-2.98, 2 Pm 2.98
Se 0.7484 0.7484 0.7484  3 Ca 2.94, 3 Pm 2.98

## Properties
**Formation energy without anion corrections**: -1.90 eV/atom
**Density of states at the Fermi level**: 5.47 states/eV/f.u.



The following is a DFT calculation (PBE-GGA) of crystalline Ca4PmY3Se8 at its relaxed geometry.

Lattice parameters (Å, degrees): 8.3626 8.3626 8.3626 59.11 59.11 59.11
With the nearest neighbours (Å) after each atom.
Fractional positions:
Ca 0.0000 0.0000 0.0000  6 Se 2.91
Ca 0.0000 0.5000 0.5000  6 Se 2.95
Ca 0.5000 0.0000 0.5000  6 Se 2.95
Ca 0.5000 0.5000 0.0000  6 Se 2.95
Pm 0.5000 0.5000 0.5000  6 Se 2.96
Y 0.0000 0.0000 0.5000  6 Se 2.92
Y 0.0000 0.5000 0.0000  6 Se 2.92
Y 0.5000 0.0000 0.0000  6 Se 2.92
Se 0.2451 0.7520 0.7520  3 Ca 2.91-2.95, 2 Y 2.92, 1 Pm 2.96
Se 0.2480 0.2480 0.7549  3 Ca 2.91-2.95, 2 Y 2.92, 1 Pm 2.96
Se 0.2480 0.7549 0.2480  3 Ca 2.91-2.95, 2 Y 2.92, 1 Pm 2.96
Se 0.2486 0.2486 0.2486  3 Y 2.92, 3 Ca 2.95
Se 0.7514 0.7514 0.7514  3 Y 2.92, 3 Ca 2.95
Se 0.7520 0.2451 0.7520  3 Ca 2.91-2.95, 2 Y 2.92, 1 Pm 2.96
Se 0.7520 0.7520 0.2451  3 Ca 2.91-2.95, 2 Y 2.92, 1 Pm 2.96
Se 0.7549 0.2480 0.2480  3 Ca 2.91-2.95, 2 Y 2.92, 1 Pm 2.96

## Properties
**Formation energy without anion corrections**: -1.89 eV/atom
**Density of states at the Fermi level**: 5.37 states/eV/f.u.



The lowest formation energy without anion corrections belongs to which entry? Ca4Pm3YSe8



Which of these has the highest formation energy without anion corrections? CaPm2Tm3Se6



What is the formation energy without anion corrections in the second record? -1.80 eV/atom